1.
A plane-wave DFT calculation with PBE was carried out for a relaxed structure of NaLi.

Lattice parameters (Å, degrees): 9.5656 9.5656 9.5656 90.00 90.00 90.00
Last column: nearest neighbours and their distance in Å.
Atoms (fractional coordinates):
Na1 0.7044 0.2956 0.7044  4 Li 3.16-3.25
Na2 0.7956 0.7956 0.7956  4 Li 3.16-3.25
Na3 0.2044 0.7956 0.2044  4 Li 3.16-3.25
Na4 0.2956 0.7044 0.7044  4 Li 3.16-3.25
Na5 0.2956 0.2956 0.2956  4 Li 3.16-3.25
Na6 0.2044 0.2044 0.7956  4 Li 3.16-3.25
Na7 0.7044 0.7044 0.2956  4 Li 3.16-3.25
Na8 0.7956 0.2044 0.2044  4 Li 3.16-3.25
Li1 0.1050 0.1050 0.1050  3 Li 2.84, 1 Na 3.16
Li2 0.3950 0.3950 0.6050  3 Li 2.84, 1 Na 3.16
Li3 0.6050 0.3950 0.3950  3 Li 2.84, 1 Na 3.16
Li4 0.6050 0.6050 0.6050  3 Li 2.84, 1 Na 3.16
Li5 0.3950 0.6050 0.3950  3 Li 2.84, 1 Na 3.16
Li6 0.8950 0.1050 0.8950  3 Li 2.84, 1 Na 3.16
Li7 0.8950 0.8950 0.1050  3 Li 2.84, 1 Na 3.16
Li8 0.1050 0.8950 0.8950  3 Li 2.84, 1 Na 3.16

Computed properties:
Formation enthalpy at 0 K ... 0.38 eV/atom
Magnetic moment ... 0.00 μB per formula unit
V ... 54.70 Å³/atom
SG ... I-43m

2.
A plane-wave DFT calculation with PBE was carried out for a relaxed structure of Ho2Hg3Pd4.

Lattice parameters (Å, degrees): 4.4050 5.0327 9.0053 79.10 89.98 64.06
Last column: nearest neighbours and their distance in Å.
Atoms (fractional coordinates):
Hg1 0.6612 0.6781 0.5683  3 Hg 2.91-3.13, 6 Pd 2.93-3.18, 3 Ho 3.11-3.18
Hg2 0.3388 0.3219 0.4317  3 Hg 2.91-3.13, 6 Pd 2.93-3.18, 3 Ho 3.11-3.18
Hg3 0.0000 0.0000 0.0000  8 Pd 2.93-2.98, 4 Ho 3.13
Pd1 0.3354 0.3292 0.1060  4 Ho 2.90-2.99, 4 Hg 2.93-2.98, 4 Pd 3.11-3.17
Pd2 0.6646 0.6708 0.8940  4 Ho 2.90-2.99, 4 Hg 2.93-2.98, 4 Pd 3.11-3.17
Pd3 0.0072 0.9853 0.3302  6 Hg 2.93-3.18, 3 Ho 2.95-3.00, 3 Pd 3.09-3.17
Pd4 0.9928 0.0147 0.6698  6 Hg 2.93-3.18, 3 Ho 2.95-3.00, 3 Pd 3.09-3.17
Ho1 0.3291 0.3420 0.7822  7 Pd 2.90-3.00, 5 Hg 3.11-3.18
Ho2 0.6709 0.6580 0.2178  7 Pd 2.90-3.00, 5 Hg 3.11-3.18

Computed properties:
Formation enthalpy at 0 K ... -0.60 eV/atom
Magnetic moment ... 0.00 μB per formula unit
V ... 19.50 Å³/atom
SG ... C2/m